Entry 1:
# GGA-PBEsol K2WCl, optimized geometry
data_K2WCl
_cell_length_a 8.099
_cell_length_b 8.099
_cell_length_c 8.099
_cell_angle_alpha 90.00
_cell_angle_beta 90.00
_cell_angle_gamma 90.00
_space_group_name_H-M_alt 'F m -3 m'
_space_group_IT_number 225
_space_group_name_Hall '-F 4 2 3'
loop_
_atom_site_label
_atom_site_fract_x
_atom_site_fract_y
_atom_site_fract_z
K1 0.250 0.250 0.250
W1 0.000 0.000 0.000
Cl1 0.000 0.000 0.500
# * energy above the lowest structure with this stoichiometry: 0 meV per atom
# * raw total energy: -3.565 eV/atom
# * formation energy without anion corrections: 3.824 eV per formula unit

Entry 2:
# GGA-PBEsol KW2Cl, optimized geometry
data_KW2Cl
_cell_length_a 2.731
_cell_length_b 2.731
_cell_length_c 10.110
_cell_angle_alpha 90.00
_cell_angle_beta 90.00
_cell_angle_gamma 90.00
_space_group_name_H-M_alt 'P 4/m m m'
_space_group_IT_number 123
_space_group_name_Hall '-P 4 2'
loop_
_atom_site_label
_atom_site_fract_x
_atom_site_fract_y
_atom_site_fract_z
K1 0.000 0.000 0.000
W1 0.500 0.500 0.299
Cl1 0.000 0.000 0.500
# * energy above the lowest structure with this stoichiometry: 0 meV per atom
# * raw total energy: -6.147 eV/atom
# * formation energy without anion corrections: 6.166 eV per formula unit